The following is a PBE calculation of an optimized crystal structure of TaRuPb2, from Alexandria.

Cell: 5.073 5.073 5.553 Å, 75.33 75.33 36.59°
Fractional coordinates of all 4 atoms:
Pb: 0.010 0.010 0.991
Pb: 0.490 0.490 0.509
Ru: 0.750 0.750 0.750
Ta: 0.250 0.250 0.250

**Relative energy among the computed polymorphs**: 561 meV per atom
**Calculated formation energy**: 656.6 meV per atom
**Space-group type**: C2/m